A geometry-optimized CeTl3Sb2Te6 structure, computed with PBE.

The value obtained for the mass density is 6814 kg/m³. The value obtained for the uncorrected formation energy is -551 kJ/mol of formula units. The calculation puts the uncorrected energy at -3.8199 eV/atom.

Lattice parameters (Å, degrees): 7.8643 7.8643 8.4329 98.96 98.96 119.95
Last column: nearest neighbours and their distance in Å.
Fractional positions:
Ce 0.0000 0.0000 0.0000  6 Te 3.19-3.20
Tl 0.1634 0.8366 0.5000  6 Te 3.45-3.50
Tl 0.5000 0.5000 0.5000  6 Te 3.44-3.49
Tl 0.8366 0.1634 0.5000  6 Te 3.45-3.50
Sb 0.3335 0.6665 0.0000  6 Te 3.10-3.12
Sb 0.6665 0.3335 0.0000  6 Te 3.10-3.12
Te 0.0729 0.4140 0.2171  2 Sb 3.12, 1 Ce 3.20, 2 Tl 3.45-3.49
Te 0.2706 0.2706 0.7867  2 Sb 3.10, 1 Ce 3.19, 1 Tl 3.44
Te 0.4140 0.0729 0.2171  2 Sb 3.12, 1 Ce 3.20, 2 Tl 3.45-3.49
Te 0.5860 0.9271 0.7829  2 Sb 3.12, 1 Ce 3.20, 2 Tl 3.45-3.49
Te 0.7294 0.7294 0.2133  2 Sb 3.10, 1 Ce 3.19, 1 Tl 3.44
Te 0.9271 0.5860 0.7829  2 Sb 3.12, 1 Ce 3.20, 2 Tl 3.45-3.49

A geometry-optimized CeTmSbTe structure, computed with PBE.

The value obtained for the mass density is 7598 kg/m³. The value obtained for the uncorrected formation energy is -464 kJ/mol of formula units. The calculation puts the uncorrected energy at -5.6205 eV/atom.

Lattice parameters (Å, degrees): 7.6864 7.6864 7.6864 33.33 33.33 33.33
Last column: nearest neighbours and their distance in Å.
Fractional positions:
Ce 0.0000 0.0000 0.0000  3 Sb 3.15, 3 Te 3.22
Tm 0.4947 0.4947 0.4947  3 Sb 3.04, 3 Te 3.10
Sb 0.7520 0.7520 0.7520  3 Tm 3.04, 3 Ce 3.15
Te 0.2428 0.2428 0.2428  3 Tm 3.10, 3 Ce 3.22

A geometry-optimized CeYSbTe structure, computed with PBE.

The value obtained for the mass density is 6385 kg/m³. The value obtained for the uncorrected formation energy is -487 kJ/mol of formula units. The calculation puts the uncorrected energy at -6.1761 eV/atom.

Lattice parameters (Å, degrees): 7.7311 7.7311 7.7311 33.36 33.36 33.36
Last column: nearest neighbours and their distance in Å.
Fractional positions:
Ce 0.0000 0.0000 0.0000  3 Sb 3.15, 3 Te 3.22
Y 0.5051 0.5051 0.5051  3 Sb 3.08, 3 Te 3.14
Sb 0.2495 0.2495 0.2495  3 Y 3.08, 3 Ce 3.15
Te 0.7556 0.7556 0.7556  3 Y 3.14, 3 Ce 3.22